Record 1
BaNpRhS3, relaxed, DFT PBE-GGA; DOS at the Fermi energy = 10.90 states/eV/f.u.; energy relative to the elements, uncorrected = -1328 meV per atom; space group = P2_1/m, No. 11
1.0
8.477 0.000 0.000
0.000 4.054 0.000
-2.369 0.000 8.619
Ba Np Rh S
2 2 2 6
Direct
0.189 0.250 0.242
0.811 0.750 0.758
0.324 0.750 0.840
0.676 0.250 0.160
0.092 0.250 0.588
0.908 0.750 0.412
0.121 0.250 0.870
0.205 0.750 0.531
0.450 0.750 0.160
0.550 0.250 0.840
0.795 0.250 0.469
0.879 0.750 0.130



Record 2
CaAc5Er, relaxed, DFT PBE-GGA; DOS at the Fermi energy = 8.71 states/eV/f.u.; space group = P4/mmm, No. 123; DFT formation energy = 0.225 eV/atom
1.0
5.837 0.000 0.000
0.000 5.837 0.000
0.000 0.000 9.264
Ca Ac Er
1 5 1
Direct
0.000 0.000 0.000
0.000 0.500 0.287
0.000 0.500 0.713
0.500 0.000 0.287
0.500 0.000 0.713
0.500 0.500 0.000
0.000 0.000 0.500



Record 3
RbAlCu3, relaxed, DFT PBE-GGA; DOS at the Fermi energy = 5.19 states/eV/f.u.; space group = Pm-3m, No. 221; energy above the most stable polymorph in this dataset = 664 kJ/mol of formula units; DFT formation energy = 1.800 eV/atom
1.0
5.321 0.000 0.000
0.000 5.321 0.000
0.000 0.000 5.321
Rb Al Cu
1 1 3
Direct
0.000 0.000 0.000
0.500 0.500 0.500
0.000 0.000 0.500
0.000 0.500 0.000
0.500 0.000 0.000



Number 1: mass density 6430 kg/m3, total magnetic moment 3.38 μB/f.u.. Number 2: mass density 7062 kg/m3, total magnetic moment 0.00 μB/f.u.. Number 3: mass density 3341 kg/m3, total magnetic moment 0.00 μB/f.u..